Entry w
NaCu2CF | PBE-GGA | relaxed

Structure (POSCAR):
```
NaCu2CF
1.0
3.6620 0.0000 0.0000
0.0000 5.8757 0.0000
0.0000 0.0000 3.6620
Na C Cu F
1 1 2 1
Cartesian
0.0000 2.9379 0.0000
0.0000 0.0000 0.0000
0.0000 0.0000 1.8310
1.8310 0.0000 0.0000
1.8310 2.9379 1.8310
```

Summary:
- volume (Å³/cell) = 79
- DOS at the Fermi energy (states/eV/atom) = 0.788
- M_tot (μB per cell) = 0.6

---

Entry x
NaCu2CF | PBE-GGA | relaxed

Structure (POSCAR):
```
NaCu2CF
1.0
-0.4091 0.6623 4.7127
-3.5139 -1.3231 -0.1191
1.6389 -4.4212 0.7636
Na C Cu F
1 1 2 1
Cartesian
0.0000 0.0000 0.0000
-1.1421 -2.5410 2.6786
0.8194 -2.2106 0.3818
-0.2046 0.3312 2.3564
-1.7569 -0.6616 -0.0595
```

Summary:
- volume (Å³/cell) = 86
- DOS at the Fermi energy (states/eV/atom) = 0.451
- M_tot (μB per cell) = 1.1

---

On energetic grounds, entry w is preferred over the next structure by 1687 meV per atom.